First-principles (GGA-PBE) data for crystalline BaCuN2F at its relaxed geometry, as listed in Alexandria via LeMat-Bulk.

Results
For the polymorph energy (0 for the lowest one), the calculation gives 1.301 eV/atom. As for the final energy: -3.914 eV per atom. The total magnetic moment comes out at 0.80 μB per atom. The density of states at the Fermi level is 0.370 states/eV per atom. The calculation puts the uncorrected formation energy at 0.994 eV per atom. As for the space-group type: P4/mmm.

Cell: 5.437 5.437 4.909 Å, 90.00 90.00 90.00°
Atoms (fractional coordinates):
1 Ba 0.000 0.000 0.000
2 Cu 0.500 0.500 0.500
3 N 0.000 0.500 0.000
4 N 0.500 0.000 0.000
5 F 0.000 0.000 0.500